Run 1
Below is an optimized crystal structure of SrCa2Pm, with properties calculated at the PBE-GGA level.

Cell and atoms, written as POSCAR:
```
SrCa2Pm
1.0
1.882 1.087 13.856
-1.882 1.087 13.856
0.000 -2.173 13.856
Sr Ca Pm
1 2 1
Cartesian
0.000 0.000 0.000
0.000 0.000 17.239
0.000 0.000 24.329
0.000 0.000 20.784
```

Summary:
**Total moment**: 0.011 μB/atom

---

Run 2
Below is an optimized crystal structure of SrCa2Pm, with properties calculated at the PBE-GGA level.

Cell and atoms, written as POSCAR:
```
SrCa2Pm
1.0
0.000 4.362 4.362
4.362 0.000 4.362
4.362 4.362 0.000
Sr Ca Pm
1 2 1
Cartesian
0.000 0.000 0.000
2.181 2.181 2.181
6.543 6.543 6.543
4.362 4.362 4.362
```

Summary:
**Total moment**: 0.000 μB/atom

---

Run 3
Below is an optimized crystal structure of SrCa2Pm, with properties calculated at the PBE-GGA level.

Cell and atoms, written as POSCAR:
```
SrCa2Pm
1.0
3.820 0.000 0.000
-1.910 3.308 0.000
0.000 0.000 13.436
Sr Ca Pm
1 2 1
Cartesian
0.000 0.000 0.000
0.000 2.205 10.003
1.910 1.103 3.388
1.910 1.103 6.963
```

Summary:
**Total moment**: 0.105 μB/atom

---

Of them, run 2 has the highest stability.

---

Run 1
Below is an optimized crystal structure of CaTbPm4, with properties calculated at the PBE-GGA level.

Cell and atoms, written as POSCAR:
```
CaTbPm4
1.0
0.000 4.786 4.786
4.786 0.000 4.786
4.786 4.786 0.000
Ca Tb Pm
1 1 4
Cartesian
0.000 0.000 0.000
2.393 2.393 2.393
5.967 3.605 3.605
3.605 5.967 3.605
3.605 3.605 5.967
5.967 5.967 5.967
```

Summary:
**Total moment**: 0.000 μB/atom

---

Run 2
Below is an optimized crystal structure of CaTbPm4, with properties calculated at the PBE-GGA level.

Cell and atoms, written as POSCAR:
```
CaTbPm4
1.0
3.632 0.000 0.000
0.000 5.203 0.000
0.000 0.000 11.052
Ca Tb Pm
1 1 4
Cartesian
0.000 0.000 0.000
1.816 2.602 5.526
0.000 0.000 3.753
0.000 0.000 7.299
1.816 2.602 1.994
1.816 2.602 9.058
```

Summary:
**Total moment**: 0.000 μB/atom

---

Of them, run 2 has the highest stability.

---

Run 1
Below is an optimized crystal structure of CaTb2Pm, with properties calculated at the PBE-GGA level.

Cell and atoms, written as POSCAR:
```
CaTb2Pm
1.0
0.000 4.095 4.095
4.095 0.000 4.095
4.095 4.095 0.000
Ca Tb Pm
1 2 1
Cartesian
0.000 0.000 0.000
2.048 2.048 2.048
6.143 6.143 6.143
4.095 4.095 4.095
```

Summary:
**Total moment**: 0.056 μB/atom

---

Run 2
Below is an optimized crystal structure of CaTb2Pm, with properties calculated at the PBE-GGA level.

Cell and atoms, written as POSCAR:
```
CaTb2Pm
1.0
1.817 1.049 12.065
-1.817 1.049 12.065
0.000 -2.098 12.065
Ca Tb Pm
1 2 1
Cartesian
0.000 0.000 0.000
0.000 0.000 8.932
0.000 0.000 15.240
0.000 0.000 30.196
```

Summary:
**Total moment**: 0.000 μB/atom

---

Run 3
Below is an optimized crystal structure of CaTb2Pm, with properties calculated at the PBE-GGA level.

Cell and atoms, written as POSCAR:
```
CaTb2Pm
1.0
3.655 0.000 0.000
0.000 3.655 0.000
0.000 0.000 10.399
Ca Tb Pm
1 2 1
Cartesian
0.000 0.000 0.000
1.827 1.827 2.772
1.827 1.827 7.627
0.000 0.000 5.200
```

Summary:
**Total moment**: 0.000 μB/atom

---

Of them, run 2 has the highest stability.

---

Run 1
Below is an optimized crystal structure of CaTb2Pm, with properties calculated at the PBE-GGA level.

Cell and atoms, written as POSCAR:
```
CaTb2Pm
1.0
5.123 0.000 0.000
0.000 5.123 0.000
0.000 0.000 5.190
Ca Tb Pm
1 2 1
Cartesian
0.000 0.000 0.000
0.000 2.562 2.595
2.562 0.000 2.595
2.562 2.562 0.000
```

Summary:
**Total moment**: 0.000 μB/atom

---

Run 2
Below is an optimized crystal structure of CaTb2Pm, with properties calculated at the PBE-GGA level.

Cell and atoms, written as POSCAR:
```
CaTb2Pm
1.0
1.818 1.050 12.096
-1.818 1.050 12.096
0.000 -2.099 12.096
Ca Tb Pm
1 2 1
Cartesian
0.000 0.000 0.000
0.000 0.000 8.932
0.000 0.000 27.356
0.000 0.000 18.144
```

Summary:
**Total moment**: 0.000 μB/atom

---

Of them, run 2 has the highest stability.

---

Run 1
Below is an optimized crystal structure of CaTbPm, with properties calculated at the PBE-GGA level.

Cell and atoms, written as POSCAR:
```
CaTbPm
1.0
4.951 0.000 0.000
0.000 4.951 0.000
0.000 0.000 8.992
Ca Tb Pm
2 2 2
Cartesian
1.238 1.238 1.560
3.713 3.713 7.432
1.238 1.238 7.019
3.713 3.713 1.973
1.238 3.713 4.496
3.713 1.238 4.496
```

Summary:
**Total moment**: 0.000 μB/atom

---

Run 2
Below is an optimized crystal structure of CaTbPm, with properties calculated at the PBE-GGA level.

Cell and atoms, written as POSCAR:
```
CaTbPm
1.0
3.609 0.000 0.000
0.000 5.627 0.000
-1.782 0.000 10.683
Ca Tb Pm
2 2 2
Cartesian
0.009 1.407 4.368
1.818 4.220 6.315
0.002 1.407 0.848
1.825 4.220 9.834
0.019 1.407 8.410
1.808 4.220 2.272
```

Summary:
**Total moment**: 0.000 μB/atom

---

Run 3
Below is an optimized crystal structure of CaTbPm, with properties calculated at the PBE-GGA level.

Cell and atoms, written as POSCAR:
```
CaTbPm
1.0
1.815 -16.264 0.000
1.815 16.264 0.000
0.000 0.000 3.683
Ca Tb Pm
2 2 2
Cartesian
1.815 14.604 2.762
1.815 -14.604 0.921
1.815 4.381 2.762
1.815 -4.381 0.921
1.815 9.455 2.762
1.815 -9.455 0.921
```

Summary:
**Total moment**: 0.000 μB/atom

---

Of them, run 2 has the highest stability.

---

Run 1
Below is an optimized crystal structure of CaTbPm, with properties calculated at the PBE-GGA level.

Cell and atoms, written as POSCAR:
```
CaTbPm
1.0
-1.840 1.840 7.849
1.840 -1.840 7.849
1.840 1.840 -7.849
Ca Tb Pm
1 1 1
Cartesian
0.000 0.000 0.000
0.000 0.000 10.579
0.000 0.000 5.068
```

Summary:
**Total moment**: 0.000 μB/atom

---

Run 2
Below is an optimized crystal structure of CaTbPm, with properties calculated at the PBE-GGA level.

Cell and atoms, written as POSCAR:
```
CaTbPm
1.0
3.664 0.000 0.000
-1.832 3.173 0.000
0.000 0.000 9.154
Ca Tb Pm
1 1 1
Cartesian
0.000 0.000 0.000
0.000 2.116 6.012
1.832 1.058 3.214
```

Summary:
**Total moment**: 0.000 μB/atom

---

Of them, run 1 has the highest stability.

---

Run 1
Below is an optimized crystal structure of CaTbPm3, with properties calculated at the PBE-GGA level.

Cell and atoms, written as POSCAR:
```
CaTbPm3
1.0
3.091 1.784 11.829
-3.091 1.784 11.829
0.000 -3.569 11.829
Ca Tb Pm
2 2 6
Cartesian
0.000 0.000 5.910
0.000 0.000 29.577
0.000 0.000 11.840
0.000 0.000 23.647
-1.004 -1.796 14.633
-2.057 -0.028 20.854
-1.053 1.768 14.633
1.053 -1.768 20.854
2.057 0.028 14.633
1.004 1.796 20.854
```

Summary:
**Total moment**: 0.000 μB/atom

---

Run 2
Below is an optimized crystal structure of CaTbPm3, with properties calculated at the PBE-GGA level.

Cell and atoms, written as POSCAR:
```
CaTbPm3
1.0
9.299 -2.803 0.000
9.299 2.803 0.000
-2.816 0.000 6.691
Ca Tb Pm
2 2 6
Cartesian
1.712 0.000 0.728
14.070 0.000 5.963
5.443 0.000 0.353
10.339 0.000 6.338
0.289 0.000 4.084
4.011 0.000 3.675
7.187 0.000 4.937
8.595 0.000 1.754
11.771 0.000 3.016
15.493 0.000 2.607
```

Summary:
**Total moment**: 0.000 μB/atom

---

Of them, run 2 has the highest stability.

---

Run 1
Below is an optimized crystal structure of Ca2TbPm4, with properties calculated at the PBE-GGA level.

Cell and atoms, written as POSCAR:
```
Ca2TbPm4
1.0
-2.867 2.867 8.966
2.867 -2.867 8.966
2.867 2.867 -8.966
Ca Tb Pm
2 1 4
Cartesian
0.000 0.000 2.278
0.000 0.000 15.654
0.000 0.000 8.966
2.867 0.000 0.000
0.000 0.000 5.877
0.000 2.867 0.000
0.000 0.000 12.055
```

Summary:
**Total moment**: 0.104 μB/atom

---

Run 2
Below is an optimized crystal structure of Ca2TbPm4, with properties calculated at the PBE-GGA level.

Cell and atoms, written as POSCAR:
```
Ca2TbPm4
1.0
-1.789 2.957 11.875
1.789 -2.957 11.875
1.789 2.957 -11.875
Ca Tb Pm
2 1 4
Cartesian
0.000 0.000 5.248
0.000 0.000 18.502
0.000 0.000 11.875
1.789 0.000 1.897
1.789 0.000 8.797
0.000 2.957 3.079
0.000 2.957 9.978
```

Summary:
**Total moment**: 0.000 μB/atom

---

Of them, run 2 has the highest stability.

---

Run 1
Below is an optimized crystal structure of CaPm2Te4, with properties calculated at the PBE-GGA level.

Cell and atoms, written as POSCAR:
```
CaPm2Te4
1.0
-4.753 4.753 4.801
4.753 -4.753 4.801
4.753 4.753 -4.801
Ca Pm Te
2 4 8
Cartesian
0.000 0.000 0.000
0.000 4.753 2.401
2.377 3.562 -1.200
5.945 2.377 1.200
2.377 1.191 3.601
-1.191 2.377 6.002
5.461 3.062 -1.876
3.062 0.708 0.524
4.045 -1.691 4.277
-0.708 1.691 2.925
3.062 4.045 1.876
0.708 6.444 -0.524
1.691 0.708 6.677
1.691 4.045 5.326
```

Summary:
**Total moment**: 0.000 μB/atom

---

Run 2
Below is an optimized crystal structure of CaPm2Te4, with properties calculated at the PBE-GGA level.

Cell and atoms, written as POSCAR:
```
CaPm2Te4
1.0
2.209 -7.300 0.000
2.209 7.300 0.000
0.000 0.000 15.393
Ca Pm Te
2 4 8
Cartesian
2.209 5.611 11.545
2.209 -5.611 3.848
2.209 1.967 8.793
2.209 1.967 14.297
2.209 -1.967 1.096
2.209 -1.967 6.601
0.000 0.000 0.000
0.000 0.000 7.697
2.209 3.255 1.863
2.209 3.255 5.833
2.209 0.546 11.545
2.209 -0.546 3.848
2.209 -3.255 9.560
2.209 -3.255 13.530
```

Summary:
**Total moment**: 0.000 μB/atom

---

Of them, run 1 has the highest stability.

---

Run 1
Below is an optimized crystal structure of Ca4Pm3Te8, with properties calculated at the PBE-GGA level.

Cell and atoms, written as POSCAR:
```
Ca4Pm3Te8
1.0
4.472 2.582 8.166
-4.472 2.582 8.166
0.000 -5.164 8.166
Ca Pm Te
4 3 8
Cartesian
0.000 0.000 0.000
0.000 0.000 3.523
0.000 0.000 12.249
0.000 0.000 20.975
-2.236 -1.291 8.166
-2.236 1.291 16.332
0.000 2.582 8.166
0.000 -2.530 10.098
-2.191 1.265 10.098
-2.191 -1.265 14.400
0.000 0.000 6.465
0.000 0.000 18.033
2.191 1.265 10.098
2.191 -1.265 14.400
0.000 2.530 14.400
```

Summary:
**Total moment**: 0.000 μB/atom

---

Run 2
Below is an optimized crystal structure of Ca4Pm3Te8, with properties calculated at the PBE-GGA level.

Cell and atoms, written as POSCAR:
```
Ca4Pm3Te8
1.0
6.317 -6.335 0.000
6.317 6.335 0.000
-6.298 0.000 6.361
Ca Pm Te
4 3 8
Cartesian
0.000 0.000 0.000
3.158 3.168 0.000
3.158 -3.168 0.000
3.168 0.000 3.180
0.010 3.168 3.180
0.010 -3.168 3.180
6.317 0.000 0.000
-0.038 0.000 3.186
3.168 3.193 3.180
6.317 3.174 0.000
3.177 0.000 0.003
3.159 0.000 6.357
6.317 -3.174 0.000
3.168 -3.193 3.180
6.374 0.000 3.175
```

Summary:
**Total moment**: 0.000 μB/atom

---

Of them, run 2 has the highest stability.

---

Run 1
Below is an optimized crystal structure of CaPmTe2, with properties calculated at the PBE-GGA level.

Cell and atoms, written as POSCAR:
```
CaPmTe2
1.0
2.220 1.282 7.458
-2.220 1.282 7.458
0.000 -2.564 7.458
Ca Pm Te
1 1 2
Cartesian
0.000 0.000 0.000
0.000 0.000 11.186
0.000 0.000 5.615
0.000 0.000 16.758
```

Summary:
**Total moment**: 0.000 μB/atom

---

Run 2
Below is an optimized crystal structure of CaPmTe2, with properties calculated at the PBE-GGA level.

Cell and atoms, written as POSCAR:
```
CaPmTe2
1.0
0.000 3.889 3.889
3.889 0.000 3.889
3.889 3.889 0.000
Ca Pm Te
1 1 2
Cartesian
0.000 0.000 0.000
3.889 3.889 3.889
1.945 1.945 1.945
5.834 5.834 5.834
```

Summary:
**Total moment**: 0.124 μB/atom

---

Run 3
Below is an optimized crystal structure of CaPmTe2, with properties calculated at the PBE-GGA level.

Cell and atoms, written as POSCAR:
```
CaPmTe2
1.0
3.883 0.000 0.000
0.000 3.883 0.000
0.000 0.000 7.800
Ca Pm Te
1 1 2
Cartesian
0.000 0.000 0.000
0.000 0.000 3.900
1.941 1.941 1.995
1.941 1.941 5.804
```

Summary:
**Total moment**: 0.000 μB/atom

---

Run 4
Below is an optimized crystal structure of CaPmTe2, with properties calculated at the PBE-GGA level.

Cell and atoms, written as POSCAR:
```
CaPmTe2
1.0
2.180 1.258 7.867
-2.180 1.258 7.867
0.000 -2.517 7.867
Ca Pm Te
1 1 2
Cartesian
0.000 0.000 0.000
0.000 0.000 4.056
0.000 0.000 13.833
0.000 0.000 17.810
```

Summary:
**Total moment**: 0.000 μB/atom

---

Of them, run 1 has the highest stability.